# 1
Density functional theory data (GGA-PBE) for an optimized crystal structure of MgCdIr.

Structure (POSCAR):
```
MgCdIr
1.0
-4.6803 -2.8515 1.0832
4.5706 -2.6941 -1.7495
3.8237 -1.5654 12.3999
Ir Cd Mg
6 6 6
Cartesian
0.6481 -3.5761 6.2370
1.4174 -4.4057 10.4873
2.2848 -3.3040 1.1745
-1.1199 -2.7634 2.2926
4.8457 -3.7489 9.5130
3.0659 -3.5349 5.4966
-0.0548 -2.7728 -0.3331
1.9118 -0.7827 6.2000
3.1864 -1.3045 10.3333
0.6373 -0.2609 2.0667
3.5598 -1.8689 3.2586
0.2090 -2.4694 8.8082
1.4051 -2.9591 12.6873
4.7560 -2.3586 7.1376
-0.9872 -1.9797 4.9292
1.1413 -3.2625 3.5459
2.5727 -3.8485 8.1878
2.3637 -1.3791 -0.6205
```

**Magnetization**: 0.002 μB per formula unit
**Formation enthalpy at 0 K**: 0.047 eV/atom
**Density**: 9.277 g/cm³

# 2
Density functional theory data (GGA-PBE) for an optimized crystal structure of MgCd2Ir.

Structure (POSCAR):
```
MgCd2Ir
1.0
-7.8409 -0.0723 5.8206
-8.2551 -2.7311 4.4452
-6.4583 -2.5470 6.8679
Cd Mg Ir
2 1 1
Cartesian
-22.4362 -5.3223 17.0440
-11.3953 -2.7032 8.6566
-16.9157 -4.0128 12.8503
-5.6386 -1.3376 4.2834
```

**Magnetization**: 0.353 μB per formula unit
**Formation enthalpy at 0 K**: 0.159 eV/atom
**Density**: 9.644 g/cm³

# 3
Density functional theory data (GGA-PBE) for an optimized crystal structure of Mg3CdIr.

Structure (POSCAR):
```
Mg3CdIr
1.0
4.4406 -0.0003 -1.4183
0.0000 4.6708 0.0003
0.3276 0.0000 8.7249
Mg Ir Cd
6 2 2
Cartesian
0.4606 3.9434 3.6078
2.0498 3.9436 0.9240
3.6553 1.6086 5.9745
4.2957 1.6079 0.3014
1.4280 3.9439 6.6593
2.7055 1.6089 2.9828
3.8278 3.9437 -1.1795
0.9286 1.6082 5.0857
1.8992 1.6087 8.1395
3.1842 3.9446 4.4923
```

**Magnetization**: 0.000 μB per formula unit
**Formation enthalpy at 0 K**: -0.197 eV/atom
**Density**: 6.847 g/cm³

# 4
Density functional theory data (GGA-PBE) for an optimized crystal structure of Mg3CdIr.

Structure (POSCAR):
```
Mg3CdIr
1.0
-0.3243 -6.5300 0.5765
5.6325 -0.5729 -3.3205
3.3539 0.3307 5.6321
Ir Mg Cd
3 9 3
Cartesian
2.8162 -0.2864 -1.6602
-0.1621 -3.2650 0.2882
1.6770 0.1653 2.8161
6.7076 -5.2441 2.2364
1.7766 -5.1112 0.9680
6.8855 -1.6610 1.9201
3.7949 -1.3467 3.7421
4.3311 -3.3861 1.4441
1.9546 -1.5281 0.6517
5.0452 -1.8424 -1.1703
4.8672 -5.4255 -0.8540
3.6169 -4.9298 4.0584
1.5148 -3.0997 3.1043
2.6541 -3.5514 -1.3720
4.4932 -0.1211 1.1558
```

**Magnetization**: 0.000 μB per formula unit
**Formation enthalpy at 0 K**: -0.222 eV/atom
**Density**: 6.652 g/cm³

# 5
Density functional theory data (GGA-PBE) for an optimized crystal structure of MgCd2Ir.

Structure (POSCAR):
```
MgCd2Ir
1.0
2.9372 -0.0479 0.0000
-1.2599 2.6537 0.0000
0.0000 0.0000 9.7600
Cd Ir Mg
2 1 1
Cartesian
0.8386 1.3029 2.6557
0.0000 0.0000 9.6834
0.0000 0.0000 5.0001
0.8386 1.3029 7.0607
```

**Magnetization**: 0.000 μB per formula unit
**Formation enthalpy at 0 K**: 0.071 eV/atom
**Density**: 9.709 g/cm³

# 6
Density functional theory data (GGA-PBE) for an optimized crystal structure of MgCd2Ir2.

Structure (POSCAR):
```
MgCd2Ir2
1.0
6.7351 0.0000 0.0000
0.0000 6.7351 0.0000
0.0000 0.0000 4.1373
Cd Ir Mg
4 4 2
Cartesian
1.1380 4.5055 2.0687
2.2296 1.1380 2.0687
5.5971 2.2296 2.0687
4.5055 5.5971 2.0687
5.8456 4.2570 0.0000
0.8895 2.4781 0.0000
2.4781 5.8456 0.0000
4.2570 0.8895 0.0000
3.3676 3.3676 0.0000
0.0000 0.0000 0.0000
```

**Magnetization**: 0.000 μB per formula unit
**Formation enthalpy at 0 K**: 0.047 eV/atom
**Density**: 11.211 g/cm³

# 7
Density functional theory data (GGA-PBE) for an optimized crystal structure of Mg2CdIr2.

Structure (POSCAR):
```
Mg2CdIr2
1.0
-5.3533 -3.4507 -2.6752
1.8965 -5.6502 3.4929
-2.1622 1.0844 2.9281
Ir Cd Mg
4 2 4
Cartesian
-3.1321 -2.9243 -1.2299
-0.0068 -2.5353 0.9339
-0.3247 -6.1766 2.0476
-3.4500 -6.5655 -0.1161
0.0000 0.0000 0.0000
-1.7284 -4.5504 0.4089
-2.5704 -1.5434 1.1367
-3.0487 -6.4731 2.6092
-4.9200 -4.2430 0.4014
-0.6990 -3.7735 3.3445
```

**Magnetization**: 0.000 μB per formula unit
**Formation enthalpy at 0 K**: -0.145 eV/atom
**Density**: 9.994 g/cm³

# 8
Density functional theory data (GGA-PBE) for an optimized crystal structure of MgCd2Ir.

Structure (POSCAR):
```
MgCd2Ir
1.0
-4.6292 3.1023 0.7689
-0.3173 -4.7893 -2.9338
-1.7704 -1.7652 1.7006
Mg Ir Cd
1 1 2
Cartesian
-1.0438 -3.2773 -0.6166
-3.1998 0.6686 1.2347
-2.4733 -0.8435 -1.0825
0.0000 0.0000 0.0000
```

**Magnetization**: 0.000 μB per formula unit
**Formation enthalpy at 0 K**: 0.040 eV/atom
**Density**: 9.988 g/cm³